A relaxed structure of Mn3P4O14, computed with GGA-PBEsol.

Properties
ΔE_f (raw) in eV/atom: -1.953
Space-group type: P-1 (2)
Total magnetization in μB per cell: 13.0

a b c (Å): 5.9769 6.6425 7.6198
angles (deg): 81.16 72.77 75.76
Closest atoms and distances in Å follow each position.
Atoms (fractional coordinates):
Mn 0.0000 0.0000 0.0000  4 O 1.87-1.88
Mn 0.2447 0.4696 0.3353  5 O 1.90-2.05
Mn 0.7553 0.5304 0.6647  5 O 1.90-2.05
P 0.2157 0.6902 0.6889  4 O 1.50-1.60
P 0.3670 0.3038 0.9261  4 O 1.51-1.62
P 0.6330 0.6962 0.0739  4 O 1.51-1.62
P 0.7843 0.3098 0.3111  4 O 1.50-1.60
O 0.0651 0.8912 0.7715  1 P 1.52
O 0.0818 0.6139 0.5708  1 P 1.57
O 0.2107 0.5254 0.8667  2 P 1.60-1.62
O 0.2523 0.1374 0.8894  1 P 1.53
O 0.3384 0.3084 0.1297  1 P 1.51
O 0.3744 0.7126 0.1906  1 P 1.52
O 0.4698 0.6927 0.5788  1 P 1.50
O 0.5302 0.3073 0.4212  1 P 1.50
O 0.6256 0.2874 0.8094  1 P 1.52
O 0.6616 0.6916 0.8703  1 P 1.51
O 0.7477 0.8626 0.1106  1 P 1.53
O 0.7893 0.4746 0.1333  2 P 1.60-1.62
O 0.9182 0.3861 0.4292  1 P 1.57
O 0.9349 0.1088 0.2285  1 P 1.52